Compound: BaMg2Zn
Source: Alexandria
Functional: PBE
Structure: relaxed

The structure belongs to space group Pnma (No. 62); the cell edges are 17.986, 8.292 and 6.227 Å and the angles 90.00°, 90.00° and 90.00°. Symmetry generates all atoms from Ba at (0.105, 0.250, 0.236), Ba at (0.137, 0.750, 0.042), Mg at (0.040, 0.059, 0.725), Mg at (0.211, 0.559, 0.545), Zn at (0.069, 0.750, 0.536) and Zn at (0.186, 0.250, 0.750).

The magnetization is 0.00 μB/f.u. As for the calculated volume: 29.0 Å³/atom. As for the total energy: -54.7 eV/cell. As for the crystal system: orthorhombic.